## K6Sn3As5 (GGA-PBEsol)

Data for crystalline K6Sn3As5 at its relaxed geometry.

Lattice parameters (Å, degrees): 10.692 14.689 10.858 90.00 90.00 90.00
Space group Pmmn (No. 59, origin choice 2)
One atom of each set of equivalent atoms:
K 0.042 0.102 0.106
K 0.048 0.102 0.702
K 0.250 0.031 0.411
K 0.250 0.250 0.903
K 0.250 0.750 0.417
Sn 0.080 0.250 0.398
Sn 0.250 0.623 0.120
Sn 0.250 0.647 0.733
As 0.058 0.604 0.590
As 0.068 0.750 0.098
As 0.250 0.250 0.217
As 0.250 0.250 0.578
As 0.250 0.521 0.910

Computed properties:
Total energy = -0.1340 Ha/atom
Calculated formation energy = -9.78 kcal/mol of atoms

---

## ZrScPb3 (GGA-PBEsol)

Data for crystalline ZrScPb3 at its relaxed geometry.

Lattice parameters (Å, degrees): 5.500 5.500 5.500 90.00 90.00 90.00
Space group Pm-3m (No. 221)
One atom of each set of equivalent atoms:
Zr 0.000 0.000 0.000
Sc 0.500 0.500 0.500
Pb 0.000 0.000 0.500

Computed properties:
Total energy = -0.1846 Ha/atom
Fermi-level density of states = 4.74 states/eV/cell
Calculated formation energy = 11.87 kcal/mol of atoms

---

## Na4H4PdPt (GGA-PBEsol)

Data for crystalline Na4H4PdPt at its relaxed geometry.

Lattice parameters (Å, degrees): 3.517 3.517 11.092 90.00 90.00 90.00
Space group P4/mmm (No. 123)
One atom of each set of equivalent atoms:
Na 0.000 0.000 0.136
Na 0.500 0.500 0.359
H 0.000 0.000 0.349
H 0.500 0.500 0.150
Pd 0.000 0.000 0.500
Pt 0.500 0.500 0.000

Computed properties:
Total energy = -0.1258 Ha/atom
Fermi-level density of states = 0.93 states/eV/cell

---

Asked for magnetization across the records above, the calculation gives 0.000; 0.005; 0.000 μB/atom in order.